No. 1
{
  "formula": "Ce6MnAu2",
  "functional": "PBE",
  "state": "optimized geometry",
  "lattice_angstrom": [[3.6188, 0.0000, 0.0000], [0.0000, 7.4545, -4.1647], [0.0000, -0.6300, 8.5157]],
  "species": ["Ce", "Ce", "Ce", "Ce", "Ce", "Ce", "Mn", "Au", "Au"],
  "frac_coords": [[0.5000, 0.4460, 0.4460], [0.5000, 0.5903, 0.9742], [0.5000, 0.9742, 0.5903], [0.0000, 0.7472, 0.7472], [0.0000, 0.2266, 0.9992], [0.0000, 0.9992, 0.2266], [0.5000, 0.0568, 0.0568], [0.0000, 0.6540, 0.3057], [0.0000, 0.3057, 0.6540]],
  "formation_enthalpy_0k_mev_per_atom": -249,
  "dos_at_fermi_per_ev_atom": 2.3378,
  "sg": "Amm2 (38)"
}



No. 2
{
  "formula": "Ce5MnAu2",
  "functional": "PBE",
  "state": "optimized geometry",
  "lattice_angstrom": [[-2.6521, -3.8205, -0.1674], [1.1482, -1.1144, 7.2412], [-9.3491, 6.3819, 2.4647]],
  "species": ["Ce", "Ce", "Ce", "Ce", "Ce", "Ce", "Ce", "Ce", "Ce", "Ce", "Mn", "Mn", "Au", "Au", "Au", "Au"],
  "frac_coords": [[0.0000, 0.0000, 0.5000], [0.0000, 0.5000, 0.0000], [0.0000, 0.8945, 0.1932], [0.0000, 0.1055, 0.8068], [0.0000, 0.6055, 0.6932], [0.0000, 0.3945, 0.3068], [0.5000, 0.7134, 0.4419], [0.5000, 0.2866, 0.5581], [0.5000, 0.7866, 0.9419], [0.5000, 0.2134, 0.0581], [0.0000, 0.5000, 0.5000], [0.0000, 0.0000, 0.0000], [0.5000, 0.6035, 0.1825], [0.5000, 0.3965, 0.8175], [0.5000, 0.8965, 0.6825], [0.5000, 0.1035, 0.3175]],
  "formation_enthalpy_0k_mev_per_atom": -285,
  "dos_at_fermi_per_ev_atom": 2.6488,
  "sg": "Pbam (55)"
}



No. 3
{
  "formula": "Ce2MoAu",
  "functional": "PBE",
  "state": "optimized geometry",
  "lattice_angstrom": [[3.5101, 0.0000, 0.0000], [0.0000, 3.5101, 0.0000], [0.0000, 0.0000, 7.4942]],
  "species": ["Mo", "Au", "Ce", "Ce"],
  "frac_coords": [[0.5000, 0.5000, 0.0000], [0.5000, 0.5000, 0.5000], [0.0000, 0.0000, 0.7712], [0.0000, 0.0000, 0.2288]],
  "formation_enthalpy_0k_mev_per_atom": -136,
  "dos_at_fermi_per_ev_atom": 1.4685,
  "sg": "P4/mmm (123)"
}



What did the second record say?
{
  "formula": "Ce5MnAu2",
  "functional": "PBE",
  "state": "optimized geometry",
  "lattice_angstrom": [[-2.6521, -3.8205, -0.1674], [1.1482, -1.1144, 7.2412], [-9.3491, 6.3819, 2.4647]],
  "species": ["Ce", "Ce", "Ce", "Ce", "Ce", "Ce", "Ce", "Ce", "Ce", "Ce", "Mn", "Mn", "Au", "Au", "Au", "Au"],
  "frac_coords": [[0.0000, 0.0000, 0.5000], [0.0000, 0.5000, 0.0000], [0.0000, 0.8945, 0.1932], [0.0000, 0.1055, 0.8068], [0.0000, 0.6055, 0.6932], [0.0000, 0.3945, 0.3068], [0.5000, 0.7134, 0.4419], [0.5000, 0.2866, 0.5581], [0.5000, 0.7866, 0.9419], [0.5000, 0.2134, 0.0581], [0.0000, 0.5000, 0.5000], [0.0000, 0.0000, 0.0000], [0.5000, 0.6035, 0.1825], [0.5000, 0.3965, 0.8175], [0.5000, 0.8965, 0.6825], [0.5000, 0.1035, 0.3175]],
  "formation_enthalpy_0k_mev_per_atom": -285,
  "dos_at_fermi_per_ev_atom": 2.6488,
  "sg": "Pbam (55)"
}